(1)
MgSiBAu2: optimized geometry, PBE.

Cell lengths 4.4559, 4.4559, 4.2929 Å; angles 90.00, 90.00, 90.00 degrees
Space group P4/mmm (No. 123)
One atom of each set of equivalent atoms:
Mg1 0.0000 0.0000 0.0000 [1 per cell]
Si1 0.5000 0.5000 0.0000 [1 per cell]
B1 0.5000 0.5000 0.5000 [1 per cell]
Au1 0.0000 0.5000 0.5000 [2 per cell]

Computed properties:
The value obtained for the magnetization is 0.0 μB/cell. The value obtained for the electronic total energy is -18.9 eV/cell. The density of states at the Fermi level is 1.43 states/eV/cell.

***

(2)
Bi3Te4: optimized geometry, PBE.

Cell lengths 9.3926, 12.6163, 4.3961 Å; angles 90.00, 90.00, 90.00 degrees
Space group Cmmm (No. 65)
One atom of each set of equivalent atoms:
Bi1 0.0000 0.0000 0.0000 [2 per cell]
Bi2 0.2500 0.2500 0.5000 [4 per cell]
Te1 0.0000 0.2525 0.0000 [4 per cell]
Te2 0.2429 0.0000 0.5000 [4 per cell]

Computed properties:
The value obtained for the magnetization is 0.0 μB/cell. The value obtained for the electronic total energy is -50.8 eV/cell. The density of states at the Fermi level is 4.15 states/eV/cell.

***

(3)
Rb2U3PdO12: optimized geometry, PBE.

Cell lengths 7.9068, 7.9068, 18.1251 Å; angles 90.00, 90.00, 120.00 degrees
Space group R-3m (No. 166, hexagonal axes)
One atom of each set of equivalent atoms:
Rb1 0.0000 0.0000 0.1332 [6 per cell]
U1 0.0000 0.5000 0.0000 [9 per cell]
Pd1 0.0000 0.0000 0.5000 [3 per cell]
O1 0.0801 0.5401 0.3622 [18 per cell]
O2 0.0896 0.5448 0.1052 [18 per cell]

Computed properties:
The value obtained for the magnetization is 0.0 μB/cell. The value obtained for the electronic total energy is -434.5 eV/cell.

***

(4)
Ag3W: optimized geometry, PBE.

Cell lengths 9.4373, 9.2339, 3.2500 Å; angles 90.00, 90.00, 90.00 degrees
Space group Cmcm (No. 63)
One atom of each set of equivalent atoms:
Ag1 0.0000 0.1309 0.2500 [4 per cell]
Ag2 0.2493 0.1274 0.7500 [8 per cell]
W1 0.0000 0.3996 0.7500 [4 per cell]

Computed properties:
The value obtained for the magnetization is 0.0 μB/cell. The value obtained for the electronic total energy is -79.3 eV/cell. As for the excess energy over the best structure of this formula in the dataset: 0.031 eV per atom. The density of states at the Fermi level is 6.85 states/eV/cell. Its formation energy is 0.42 eV/atom.